[1]
4
Lattice="3.2670 0.0000 0.0000 1.6335 2.8293 0.0000 1.6335 0.9431 9.6074" Properties=species:S:1:pos:R:3 comment="CaUGe2 | Alexandria | GGA-PBE | relaxed" spacegroup="R-3m, No. 166" pbc="T T T"
Ge 4.9005 2.8293 7.1763
Ge 1.6335 0.9431 2.4312
Ca 3.2670 1.8862 4.8037
U 0.0000 0.0000 0.0000

[2]
4
Lattice="-1.9712 0.8744 -2.4948 1.7812 -1.8603 -2.0594 -4.8528 -6.4054 1.5891" Properties=species:S:1:pos:R:3 comment="CaUGe2 | Alexandria | GGA-PBE | relaxed" spacegroup="P4/mmm, No. 123" pbc="T T T"
Ge -1.1789 -1.5561 0.3861
Ge -3.6739 -4.8493 1.2031
U -0.0950 -0.4930 -2.2771
Ca -2.5214 -3.6957 -1.4825

[3]
5
Lattice="5.2091 0.0000 0.0000 0.0000 5.2091 0.0000 0.0000 0.0000 5.2091" Properties=species:S:1:pos:R:3 comment="CaVGe3 | Alexandria | GGA-PBE | relaxed" spacegroup="Pm-3m, No. 221" pbc="T T T"
Ca 0.0000 0.0000 0.0000
V 2.6046 2.6046 2.6046
Ge 2.6046 0.0000 0.0000
Ge 0.0000 0.0000 2.6046
Ge 0.0000 2.6046 0.0000

[4]
12
Lattice="4.6883 0.0000 0.0000 0.0000 3.3495 0.0000 0.0000 0.0000 15.9927" Properties=species:S:1:pos:R:3 comment="CaVGe | Alexandria | GGA-PBE | relaxed" spacegroup="Amm2, No. 38" pbc="T T T"
Ca 2.3441 1.6748 11.4821
Ca 2.3441 0.0000 3.4857
Ca 0.0000 1.6748 5.8197
Ca 0.0000 0.0000 13.8161
Ge 0.0000 0.0000 10.5064
Ge 0.0000 1.6748 2.5100
Ge 2.3441 0.0000 6.8966
Ge 2.3441 1.6748 14.8930
V 3.6908 1.6748 8.6627
V 0.9975 1.6748 8.6627
V 0.9975 0.0000 0.6664
V 3.6908 0.0000 0.6664

| no. | formation enthalpy at 0 K (meV/atom) |
| --- | --- |
| 1 | -80 |
| 2 | -303 |
| 3 | 1333 |
| 4 | -73 |